No. 1
Ga5Ag2 | PBE-GGA | relaxed

Values from the calculation:
E above lowest polymorph (meV/atom): 35
ΔE_f (eV/atom): 0.065
V (Å³/cell): 394.2

a b c (Å): 4.9070 4.9070 18.9033
angles (deg): 90.00 90.00 120.00
Closest atoms and distances in Å follow each position.
Space group R-3m (No. 166, hexagonal axes)
Unique sites:
Ga (0.0000, 0.0000, 0.0000) (multiplicity 3)  2 Ag 2.70, 6 Ga 2.97
Ga (0.0000, 0.0000, 0.2861) (multiplicity 6)  7 Ga 2.67-2.97, 1 Ag 2.71
Ga (0.0000, 0.0000, 0.4273) (multiplicity 6)  5 Ga 2.67-2.97, 3 Ag 2.98
Ag (0.0000, 0.0000, 0.1426) (multiplicity 6)  5 Ga 2.70-2.98, 3 Ag 2.98

=====

No. 2
Ga5Ag | PBE-GGA | relaxed

Values from the calculation:
E above lowest polymorph (meV/atom): 0
ΔE_f (eV/atom): 0.020
V (Å³/cell): 110.8

a b c (Å): 2.9129 2.9129 13.0589
angles (deg): 90.00 90.00 90.00
Closest atoms and distances in Å follow each position.
Space group P4/mmm (No. 123)
Unique sites:
Ga (0.0000, 0.0000, 0.0000) (multiplicity 1)  12 Ga 2.91-3.05
Ga (0.0000, 0.0000, 0.3423) (multiplicity 2)  4 Ag 2.91, 8 Ga 2.91-3.03
Ga (0.5000, 0.5000, 0.1726) (multiplicity 2)  12 Ga 2.91-3.05
Ag (0.5000, 0.5000, 0.5000) (multiplicity 1)  8 Ga 2.91, 4 Ag 2.91

=====

No. 3
Ga5Ag3 | PBE-GGA | relaxed

Values from the calculation:
E above lowest polymorph (meV/atom): 0
ΔE_f (eV/atom): 0.025
V (Å³/cell): 144.8

a b c (Å): 2.8510 6.2271 8.1551
angles (deg): 90.00 90.00 90.00
Closest atoms and distances in Å follow each position.
Space group Pmm2 (No. 25)
Unique sites:
Ga (0.0000, 0.0000, 0.0000) (multiplicity 1)  6 Ga 2.85-2.99, 6 Ag 2.89-3.12
Ga (0.0000, 0.0000, 0.4871) (multiplicity 1)  8 Ga 2.85-3.11, 4 Ag 2.94
Ga (0.0000, 0.5000, 0.4888) (multiplicity 1)  8 Ga 2.85-3.11, 4 Ag 2.91
Ga (0.5000, 0.2494, 0.7406) (multiplicity 2)  10 Ga 2.85-3.12, 2 Ag 2.88
Ag (0.0000, 0.5000, 0.9809) (multiplicity 1)  6 Ag 2.85-2.97, 6 Ga 2.88-3.12
Ag (0.5000, 0.2551, 0.2397) (multiplicity 2)  6 Ag 2.85-3.18, 6 Ga 2.89-2.94

=====

No. 4
Ga8Ag | PBE-GGA | relaxed

Values from the calculation:
E above lowest polymorph (meV/atom): 0
ΔE_f (eV/atom): 0.029
V (Å³/cell): 334.2

a b c (Å): 9.0481 9.0481 4.0820
angles (deg): 90.00 90.00 90.00
Closest atoms and distances in Å follow each position.
Space group I4/mmm (No. 139)
Unique sites:
Ga (0.0000, 0.3313, 0.0000) (multiplicity 8)  11 Ga 2.94-3.05, 1 Ag 3.00
Ga (0.1645, 0.1645, 0.5000) (multiplicity 8)  2 Ag 2.93, 10 Ga 2.94-3.04
Ag (0.0000, 0.0000, 0.0000) (multiplicity 2)  12 Ga 2.93-3.00

=====

No. 5
Ga5Ag3 | PBE-GGA | relaxed

Values from the calculation:
E above lowest polymorph (meV/atom): 4
ΔE_f (eV/atom): 0.029
V (Å³/cell): 297.4

a b c (Å): 2.9366 4.4965 22.5199
angles (deg): 90.00 90.00 90.00
Closest atoms and distances in Å follow each position.
Space group Imm2 (No. 44)
Unique sites:
Ga (0.0000, 0.0000, 0.0000) (multiplicity 2)  6 Ag 2.75-2.98, 4 Ga 2.79-2.94
Ga (0.0000, 0.0000, 0.2303) (multiplicity 2)  4 Ag 2.83, 6 Ga 2.89-3.11
Ga (0.0000, 0.5000, 0.1496) (multiplicity 2)  8 Ga 2.86-2.94, 2 Ag 3.08
Ga (0.0000, 0.5000, 0.6054) (multiplicity 2)  8 Ga 2.79-2.94
Ga (0.0000, 0.5000, 0.8522) (multiplicity 2)  8 Ag 2.78-3.11, 4 Ga 2.94-3.11
Ag (0.0000, 0.0000, 0.4739) (multiplicity 2)  4 Ga 2.75, 4 Ag 2.94-3.01
Ag (0.0000, 0.0000, 0.7698) (multiplicity 2)  8 Ga 2.83-3.08, 4 Ag 2.94-2.98
Ag (0.0000, 0.5000, 0.3849) (multiplicity 2)  6 Ga 2.78-2.98, 6 Ag 2.94-3.01

=====

No. 6
Ga6Ag | PBE-GGA | relaxed

Values from the calculation:
E above lowest polymorph (meV/atom): 25
ΔE_f (eV/atom): 0.059
V (Å³/cell): 542.7

a b c (Å): 8.1849 7.5286 8.8064
angles (deg): 90.00 90.00 90.00
Closest atoms and distances in Å follow each position.
Space group Cmcm (No. 63)
Unique sites:
Ga (0.0000, 0.1533, 0.0946) (multiplicity 8)  4 Ga 2.74-2.85, 1 Ag 2.91
Ga (0.1743, 0.1885, 0.7500) (multiplicity 8)  2 Ag 2.78-3.00, 3 Ga 2.81-2.85
Ga (0.2013, 0.5000, 0.0000) (multiplicity 8)  2 Ag 2.75, 4 Ga 2.81-2.83
Ag (0.0000, 0.4941, 0.2500) (multiplicity 4)  10 Ga 2.75-3.00

=====

No. 7
Ga3Ag8 | PBE-GGA | relaxed

Values from the calculation:
E above lowest polymorph (meV/atom): 218
ΔE_f (eV/atom): 0.215
V (Å³/cell): 664.2

a b c (Å): 8.7768 8.7768 9.9569
angles (deg): 90.00 90.00 120.00
Closest atoms and distances in Å follow each position.
Space group R-3 (No. 148, hexagonal axes)
Unique sites:
Ga (0.0000, 0.5000, 0.0000) (multiplicity 9)  4 Ag 2.55-2.62
Ag (0.0000, 0.0000, 0.3589) (multiplicity 6)  3 Ga 2.55, 1 Ag 2.81
Ag (0.0066, 0.8035, 0.8896) (multiplicity 18)  2 Ga 2.62-2.86, 3 Ag 2.81-2.82

=====

No. 8
Ga2Ag5 | PBE-GGA | relaxed

Values from the calculation:
E above lowest polymorph (meV/atom): 19
ΔE_f (eV/atom): 0.011
V (Å³/cell): 500.2

a b c (Å): 6.6817 12.6393 5.9229
angles (deg): 90.00 90.00 90.00
Closest atoms and distances in Å follow each position.
Space group Ibam (No. 72)
Unique sites:
Ga (0.2221, 0.1184, 0.0000) (multiplicity 8)  10 Ag 2.68-2.99
Ag (0.0000, 0.2709, 0.2500) (multiplicity 8)  4 Ga 2.76-2.85, 5 Ag 2.89-2.96
Ag (0.0000, 0.5000, 0.2500) (multiplicity 4)  4 Ga 2.81, 8 Ag 2.90-2.96
Ag (0.1768, 0.0979, 0.5000) (multiplicity 8)  4 Ga 2.68-2.99, 4 Ag 2.89-2.90

=====

No. 9
Ga3Ag | PBE-GGA | relaxed

Values from the calculation:
E above lowest polymorph (meV/atom): 20
ΔE_f (eV/atom): 0.040
V (Å³/cell): 149.0

a b c (Å): 3.0199 4.8818 10.1096
angles (deg): 90.00 90.00 90.00
Closest atoms and distances in Å follow each position.
Space group Cmmm (No. 65)
Unique sites:
Ga (0.0000, 0.0000, 0.0000) (multiplicity 2)  10 Ga 2.87-3.02
Ga (0.0000, 0.5000, 0.2559) (multiplicity 4)  8 Ga 2.87-3.02, 2 Ag 2.89
Ag (0.0000, 0.0000, 0.5000) (multiplicity 2)  6 Ag 2.87-3.02, 4 Ga 2.89

=====

No. 10
Ga3Ag8 | PBE-GGA | relaxed

Values from the calculation:
E above lowest polymorph (meV/atom): 0
ΔE_f (eV/atom): -0.004
V (Å³/cell): 383.8

a b c (Å): 10.3653 3.2146 11.9377
angles (deg): 90.00 105.21 90.00
Closest atoms and distances in Å follow each position.
Space group C2/m (No. 12)
Unique sites:
Ga (0.0000, 0.0000, 0.0000) (multiplicity 2)  8 Ag 2.73-2.76
Ga (0.0880, 0.0000, 0.6512) (multiplicity 4)  8 Ag 2.76-2.83
Ag (0.0454, 0.5000, 0.8265) (multiplicity 4)  4 Ga 2.76, 4 Ag 2.91-2.92
Ag (0.1281, 0.5000, 0.4693) (multiplicity 4)  4 Ga 2.82-2.83, 6 Ag 2.91-3.04
Ag (0.1882, 0.0000, 0.2862) (multiplicity 4)  2 Ga 2.76, 7 Ag 2.91-3.04
Ag (0.2148, 0.5000, 0.0897) (multiplicity 4)  2 Ga 2.73, 6 Ag 2.91-2.92

=====

No. 11
Ga3Ag | PBE-GGA | relaxed

Values from the calculation:
E above lowest polymorph (meV/atom): 18
ΔE_f (eV/atom): 0.039
V (Å³/cell): 146.5

a b c (Å): 4.2248 4.2248 8.2101
angles (deg): 90.00 90.00 90.00
Closest atoms and distances in Å follow each position.
Space group I4/mmm (No. 139)
Unique sites:
Ga (0.0000, 0.0000, 0.0000) (multiplicity 2)  8 Ga 2.95, 4 Ag 2.99
Ga (0.0000, 0.5000, 0.2500) (multiplicity 4)  8 Ga 2.95-2.99, 4 Ag 2.95
Ag (0.0000, 0.0000, 0.5000) (multiplicity 2)  12 Ga 2.95-2.99

=====

No. 12
Ga4Ag3 | PBE-GGA | relaxed

Values from the calculation:
E above lowest polymorph (meV/atom): 6
ΔE_f (eV/atom): 0.025
V (Å³/cell): 259.3

a b c (Å): 13.6492 3.2452 6.6894
angles (deg): 90.00 118.95 90.00
Closest atoms and distances in Å follow each position.
Space group C2/m (No. 12)
Unique sites:
Ga (0.0824, 0.0000, 0.4597) (multiplicity 4)  1 Ga 2.56, 4 Ag 2.72-2.77
Ga (0.1305, 0.5000, 0.8882) (multiplicity 4)  5 Ag 2.67-2.91
Ag (0.0000, 0.0000, 0.0000) (multiplicity 2)  6 Ga 2.72-2.77, 2 Ag 2.85
Ag (0.2360, 0.0000, 0.3006) (multiplicity 4)  6 Ga 2.67-2.91, 3 Ag 2.85-2.98

=====

Number 1: total magnetic moment 0.000 Bohr magnetons per cell, DOS at the Fermi energy 0.3680 states/eV/atom, ρ 7.1 g/cm³. Number 2: total magnetic moment 0.000 Bohr magnetons per cell, DOS at the Fermi energy 0.3547 states/eV/atom, ρ 6.8 g/cm³. Number 3: total magnetic moment 0.000 Bohr magnetons per cell, DOS at the Fermi energy 0.3424 states/eV/atom, ρ 7.7 g/cm³. Number 4: total magnetic moment 0.000 Bohr magnetons per cell, DOS at the Fermi energy 0.4367 states/eV/atom, ρ 6.6 g/cm³. Number 5: total magnetic moment 0.000 Bohr magnetons per cell, DOS at the Fermi energy 0.3468 states/eV/atom, ρ 7.5 g/cm³. Number 6: total magnetic moment 0.000 Bohr magnetons per cell, DOS at the Fermi energy 0.3035 states/eV/atom, ρ 6.4 g/cm³. Number 7: total magnetic moment 0.000 Bohr magnetons per cell, DOS at the Fermi energy 0.3311 states/eV/atom, ρ 8.0 g/cm³. Number 8: total magnetic moment 0.000 Bohr magnetons per cell, DOS at the Fermi energy 0.2656 states/eV/atom, ρ 9.0 g/cm³. Number 9: total magnetic moment 0.000 Bohr magnetons per cell, DOS at the Fermi energy 0.2355 states/eV/atom, ρ 7.1 g/cm³. Number 10: total magnetic moment 0.000 Bohr magnetons per cell, DOS at the Fermi energy 0.1792 states/eV/atom, ρ 9.3 g/cm³. Number 11: total magnetic moment 0.000 Bohr magnetons per cell, DOS at the Fermi energy 0.3850 states/eV/atom, ρ 7.2 g/cm³. Number 12: total magnetic moment 0.000 Bohr magnetons per cell, DOS at the Fermi energy 0.3422 states/eV/atom, ρ 7.7 g/cm³.